Compound: PaZn4W
Source: Alexandria
Functional: PBE
Structure: optimized geometry

Cell and atoms, written as POSCAR:
```
PaZn4W
1.0
-4.000 -2.310 -2.394
-0.980 -5.039 0.848
-4.200 -1.410 2.727
Zn Pa W
4 1 1
direct
0.626 0.626 0.122
0.626 0.122 0.626
0.626 0.626 0.626
0.122 0.626 0.626
0.250 0.250 0.250
0.000 0.000 0.000
```

Computed properties:
Crystal system = cubic
Space group = No. 216
Energy of formation = 0.08 eV/atom

***

Compound: AcYSe2
Source: Alexandria
Functional: PBE
Structure: optimized geometry

Cell and atoms, written as POSCAR:
```
AcYSe2
1.0
4.184 0.000 0.000
2.092 3.624 0.000
2.092 1.208 7.286
Y Ac Se
1 1 2
direct
0.500 0.500 0.500
0.000 0.000 0.000
0.760 0.760 0.720
0.240 0.240 0.280
```

Computed properties:
Crystal system = trigonal
Space group = No. 166
Polymorph energy (0 for the lowest one) = 0.0 meV per atom
Formation energy without anion corrections = -1.810 eV per atom

***

Record order is preserved below.
Magnetization: 0.00 0.00 μB/cell